No. 1
Material: Tm4MgSe5
Method: DFT, PBE-GGA
State: relaxed

Cell lengths 6.931, 6.931, 6.931 Å; angles 99.55, 99.55, 131.92 degrees
Sites, in units of the cell vectors:
1 Tm 0.095 0.308 0.403
2 Tm 0.308 0.905 0.214
3 Tm 0.692 0.095 0.786
4 Tm 0.905 0.692 0.597
5 Mg 0.501 0.501 0.000
6 Se 0.001 0.001 0.000
7 Se 0.215 0.600 0.814
8 Se 0.400 0.215 0.615
9 Se 0.600 0.785 0.385
10 Se 0.785 0.400 0.186

Summary:
energy relative to the elements, uncorrected	-1543	meV/atom

=====

No. 2
Material: LiYSe2
Method: DFT, PBE-GGA
State: relaxed

Cell lengths 6.116, 6.116, 6.116 Å; angles 141.95, 141.95, 54.90 degrees
Sites, in units of the cell vectors:
1 Li 0.000 0.000 0.000
2 Y 0.750 0.250 0.500
3 Se 0.250 0.750 0.500
4 Se 0.500 0.500 0.000

Summary:
energy relative to the elements, uncorrected	-1279	meV/atom

=====

No. 3
Material: CeNdNCl
Method: DFT, PBE-GGA
State: relaxed

Cell lengths 7.536, 7.536, 7.536 Å; angles 27.82, 27.82, 27.82 degrees
Sites, in units of the cell vectors:
1 Ce 0.000 0.000 0.000
2 Nd 0.207 0.207 0.207
3 N 0.607 0.607 0.607
4 Cl 0.439 0.439 0.439

Summary:
energy relative to the elements, uncorrected	-1519	meV/atom

=====

No. 4
Material: KBa3Hg4
Method: DFT, PBE-GGA
State: relaxed

Cell lengths 5.933, 5.933, 8.374 Å; angles 90.00, 90.00, 90.00 degrees
Sites, in units of the cell vectors:
1 K 0.000 0.000 0.000
2 Ba 0.000 0.000 0.500
3 Ba 0.500 0.500 0.000
4 Ba 0.500 0.500 0.500
5 Hg 0.000 0.500 0.256
6 Hg 0.000 0.500 0.744
7 Hg 0.500 0.000 0.256
8 Hg 0.500 0.000 0.744

Summary:
E_form	-3.5	eV per formula unit

=====

No. 5
Material: KVRh3
Method: DFT, PBE-GGA
State: relaxed

Cell lengths 4.657, 4.657, 4.657 Å; angles 90.00, 90.00, 90.00 degrees
Sites, in units of the cell vectors:
1 K 0.000 0.000 0.000
2 V 0.500 0.500 0.500
3 Rh 0.000 0.000 0.500
4 Rh 0.000 0.500 0.000
5 Rh 0.500 0.000 0.000

Summary:
E_form	11.3	eV per formula unit

=====

No. 6
Material: Cd2GaRhPb
Method: DFT, PBE-GGA
State: relaxed

Cell lengths 5.206, 5.206, 4.724 Å; angles 90.00, 90.00, 90.00 degrees
Sites, in units of the cell vectors:
1 Cd 0.000 0.500 0.000
2 Cd 0.500 0.000 0.000
3 Ga 0.000 0.000 0.500
4 Rh 0.000 0.000 0.000
5 Pb 0.500 0.500 0.500

Summary:
E_form	0.2	eV per formula unit

=====

No. 7
Material: ScTeRu
Method: DFT, PBE-GGA
State: relaxed

Cell lengths 5.925, 5.925, 5.925 Å; angles 147.97, 147.97, 45.93 degrees
Sites, in units of the cell vectors:
1 Sc 0.000 0.000 0.000
2 Te 0.700 0.700 0.000
3 Ru 0.346 0.346 0.000

Summary:
energy relative to the elements, uncorrected	-277	meV/atom

=====

No. 8
Material: TaBePb4
Method: DFT, PBE-GGA
State: relaxed

Cell lengths 6.244, 6.244, 6.244 Å; angles 60.00, 60.00, 60.00 degrees
Sites, in units of the cell vectors:
1 Ta 0.000 0.000 0.000
2 Be 0.750 0.750 0.750
3 Pb 0.375 0.375 0.375
4 Pb 0.375 0.375 0.876
5 Pb 0.375 0.876 0.375
6 Pb 0.876 0.375 0.375

Summary:
E_form	7.5	eV per formula unit

=====

No. 9
Material: MgSnSb2Te
Method: DFT, PBE-GGA
State: relaxed

Cell lengths 5.342, 5.342, 5.598 Å; angles 90.00, 90.00, 90.00 degrees
Sites, in units of the cell vectors:
1 Mg 0.000 0.000 0.000
2 Sn 0.500 0.500 0.500
3 Sb 0.000 0.500 0.000
4 Sb 0.500 0.000 0.000
5 Te 0.000 0.000 0.500

Summary:
energy relative to the elements, uncorrected	385	meV/atom

=====

No. 10
Material: SrCa2Cd4
Method: DFT, PBE-GGA
State: relaxed

Cell lengths 11.062, 11.062, 11.062 Å; angles 158.89, 154.21, 33.56 degrees
Sites, in units of the cell vectors:
1 Sr 0.000 0.000 0.000
2 Ca 0.306 0.806 0.500
3 Ca 0.694 0.194 0.500
4 Cd 0.147 0.647 0.500
5 Cd 0.431 0.431 0.000
6 Cd 0.569 0.569 0.000
7 Cd 0.853 0.353 0.500

Summary:
E_form	-2.2	eV per formula unit

=====

No. 11
Material: Ca2ZrRu2
Method: DFT, PBE-GGA
State: relaxed

Cell lengths 6.772, 6.772, 4.903 Å; angles 90.00, 90.00, 90.00 degrees
Sites, in units of the cell vectors:
1 Ca 0.172 0.328 0.000
2 Ca 0.328 0.828 0.000
3 Ca 0.672 0.172 0.000
4 Ca 0.828 0.672 0.000
5 Zr 0.000 0.000 0.500
6 Zr 0.500 0.500 0.500
7 Ru 0.130 0.630 0.500
8 Ru 0.370 0.130 0.500
9 Ru 0.630 0.870 0.500
10 Ru 0.870 0.370 0.500

Summary:
E_form	0.1	eV per formula unit

=====

No. 12
Material: SrTlSn3
Method: DFT, PBE-GGA
State: relaxed

Cell lengths 6.048, 6.048, 6.048 Å; angles 90.00, 90.00, 90.00 degrees
Sites, in units of the cell vectors:
1 Sr 0.000 0.000 0.000
2 Tl 0.500 0.500 0.500
3 Sn 0.000 0.000 0.500
4 Sn 0.000 0.500 0.000
5 Sn 0.500 0.000 0.000

Summary:
E_form	3.3	eV per formula unit